Record 1
ZrAlTeN2 at its PBEsol-relaxed geometry, computed with meta-GGA SCAN.

Geometry as CIF:
```
data_ZrAlTeN2
_symmetry_space_group_name_H-M 'P 1'
_symmetry_Int_Tables_number 1
_symmetry_space_group_name_Hall 'P 1'
_cell_length_a 3.8977
_cell_length_b 3.8977
_cell_length_c 5.2281
_cell_angle_alpha 90.00
_cell_angle_beta 90.00
_cell_angle_gamma 90.00
loop_
_atom_site_label
_atom_site_fract_x
_atom_site_fract_y
_atom_site_fract_z
Te1 0.0000 0.0000 0.5000
Al1 0.0000 0.0000 0.0000
Zr1 0.5000 0.5000 0.5000
N1 0.0000 0.5000 0.0000
N2 0.5000 0.0000 0.0000
```

Calculated values
Space group: P4/mmm (123)

---

Record 2
AlTlN2 at its PBEsol-relaxed geometry, computed with meta-GGA SCAN.

Geometry as CIF:
```
data_AlTlN2
_symmetry_space_group_name_H-M 'P 1'
_symmetry_Int_Tables_number 1
_symmetry_space_group_name_Hall 'P 1'
_cell_length_a 4.0465
_cell_length_b 4.0465
_cell_length_c 4.0465
_cell_angle_alpha 60.00
_cell_angle_beta 60.00
_cell_angle_gamma 60.00
loop_
_atom_site_label
_atom_site_fract_x
_atom_site_fract_y
_atom_site_fract_z
Tl1 0.5000 0.5000 0.5000
Al1 0.0000 0.0000 0.0000
N1 0.2500 0.2500 0.2500
N2 0.7500 0.7500 0.7500
```

Calculated values
Space group: Fm-3m (225)

---

Record 3
AlTlN2 at its PBEsol-relaxed geometry, computed with meta-GGA SCAN.

Geometry as CIF:
```
data_AlTlN2
_symmetry_space_group_name_H-M 'P 1'
_symmetry_Int_Tables_number 1
_symmetry_space_group_name_Hall 'P 1'
_cell_length_a 3.1451
_cell_length_b 3.1451
_cell_length_c 6.2579
_cell_angle_alpha 75.45
_cell_angle_beta 75.45
_cell_angle_gamma 60.00
loop_
_atom_site_label
_atom_site_fract_x
_atom_site_fract_y
_atom_site_fract_z
Tl1 0.0000 0.0000 0.0000
Al1 0.5000 0.5000 0.5000
N1 0.8864 0.8864 0.3408
N2 0.1136 0.1136 0.6592
```

Calculated values
Space group: R-3m (166)

---

Record 4
AlTl2N at its PBEsol-relaxed geometry, computed with meta-GGA SCAN.

Geometry as CIF:
```
data_AlTl2N
_symmetry_space_group_name_H-M 'P 1'
_symmetry_Int_Tables_number 1
_symmetry_space_group_name_Hall 'P 1'
_cell_length_a 7.1160
_cell_length_b 5.8984
_cell_length_c 7.1160
_cell_angle_alpha 52.90
_cell_angle_beta 90.00
_cell_angle_gamma 127.10
loop_
_atom_site_label
_atom_site_fract_x
_atom_site_fract_y
_atom_site_fract_z
Tl1 0.1857 0.7500 0.8750
Tl2 0.5643 0.7500 0.3750
Tl3 0.3750 0.2500 0.1857
Tl4 0.8750 0.2500 0.5643
Al1 0.7500 0.5000 0.7500
Al2 0.0000 0.0000 0.0000
N1 0.2500 0.5000 0.2500
N2 0.5000 0.0000 0.5000
```

Calculated values
Space group: I-42d (122)

---

For each record above, in turn, the calculated total energy values are -18.45; -23.31; -24.62; -39.67 eV per atom.